# 1
# Sr3FeGe2O8 | the Alexandria database | GGA+U | relaxed
data_Sr3FeGe2O8
_chemical_formula_sum 'Sr3 Fe1 Ge2 O8'
_symmetry_space_group_name_H-M 'P -3 m 1'
_symmetry_Int_Tables_number 164
_symmetry_space_group_name_Hall '-P 3 2"'
_cell_length_a 5.6734
_cell_length_b 5.6734
_cell_length_c 7.1578
_cell_angle_alpha 90.00
_cell_angle_beta 90.00
_cell_angle_gamma 120.00
loop_
_atom_site_label
_atom_site_type_symbol
_atom_site_fract_x
_atom_site_fract_y
_atom_site_fract_z
Sr1 Sr 0.0000 0.0000 0.0000
Sr2 Sr 0.3333 0.6667 0.6468
Fe1 Fe 0.0000 0.0000 0.5000
Ge1 Ge 0.3333 0.6667 0.2091
O1 O 0.1680 0.3360 0.3119
O2 O 0.3333 0.6667 0.9685
# E_tot: -6.4259 eV/atom
# calculated volume: 199.5 Å³/f.u.


# 2
# CoOF | the Alexandria database | GGA+U | relaxed
data_CoOF
_chemical_formula_sum 'Co16 O16 F16'
_symmetry_space_group_name_H-M 'C 1 2 1'
_symmetry_Int_Tables_number 5
_cell_length_a 6.3246
_cell_length_b 6.3447
_cell_length_c 12.2454
_cell_angle_alpha 90.00
_cell_angle_beta 90.08
_cell_angle_gamma 90.00
loop_
_symmetry_equiv_pos_as_xyz
'x,y,z'
'-x,y,-z'
'x+1/2,y+1/2,z'
'-x+1/2,y+1/2,-z'
loop_
_atom_site_label
_atom_site_type_symbol
_atom_site_fract_x
_atom_site_fract_y
_atom_site_fract_z
Co1 Co 0.0000 0.0000 0.0000
Co2 Co 0.0000 0.0593 0.5000
Co3 Co 0.0031 0.0030 0.2503
Co4 Co 0.0273 0.5338 0.8746
Co5 Co 0.0286 0.5318 0.3753
O1 O 0.0000 0.3517 0.5000
O2 O 0.0000 0.7099 0.0000
O3 O 0.0013 0.7123 0.2512
O4 O 0.1795 0.0340 0.6248
O5 O 0.1838 0.0104 0.1253
F1 F 0.0000 0.3132 0.0000
F2 F 0.0000 0.7538 0.5000
F3 F 0.0011 0.3127 0.2463
F4 F 0.2194 0.0134 0.8752
F5 F 0.2219 0.0328 0.3746
# E_tot: -5.2893 eV/atom
# calculated volume: 30.7 Å³/f.u.
# polymorph energy (0 for the lowest one): 49 meV/atom